Entry 1:
This record from the Alexandria database describes a geometry-optimized NpSi2Ni5 structure. The functional is PBE.

a b c (Å): 3.581 5.893 5.893
angles (deg): 67.93 72.31 72.31
Last column: magnetic moment on the atom in μB.
Positions (direct):
Si1 0.247 0.253 0.253  0.00
Si2 0.753 0.747 0.747  0.00
Ni1 0.647 0.165 0.542  0.07
Ni2 0.353 0.458 0.835  0.07
Ni3 0.353 0.835 0.458  0.07
Ni4 0.000 0.500 0.500  0.06
Ni5 0.647 0.542 0.165  0.07
Np1 0.000 0.000 0.000  3.54

Output
ρ	9.08	g/cm³
VASP energy	-7.0009	eV per atom
space-group type	No. 71
uncorrected formation energy	-0.41	eV per atom

Entry 2:
This record from the Alexandria database describes a geometry-optimized Np3Si7Ni2 structure. The functional is PBE.

a b c (Å): 4.058 3.985 12.362
angles (deg): 99.29 90.00 90.00
Last column: magnetic moment on the atom in μB.
Positions (direct):
Np1 0.000 0.187 0.372  3.65
Np2 0.500 0.500 0.000  2.91
Np3 0.000 0.813 0.628  3.65
Si1 0.000 0.000 0.000  -0.03
Si2 0.500 0.914 0.827  -0.01
Si3 0.000 0.591 0.174  -0.02
Si4 0.000 0.409 0.826  -0.02
Si5 0.500 0.278 0.555  -0.03
Si6 0.500 0.086 0.173  -0.01
Si7 0.500 0.722 0.445  -0.03
Ni1 0.500 0.372 0.742  0.07
Ni2 0.500 0.628 0.258  0.07

Output
ρ	8.63	g/cm³
VASP energy	-7.7524	eV per atom
space-group type	No. 10
uncorrected formation energy	-0.39	eV per atom

Entry 3:
This record from the Alexandria database describes a geometry-optimized NpSiNi2 structure. The functional is PBE.

a b c (Å): 2.639 2.639 9.173
angles (deg): 81.73 81.73 60.00
Last column: magnetic moment on the atom in μB.
Positions (direct):
Np1 0.000 0.000 0.000  0.40
Ni1 0.900 0.900 0.301  0.00
Ni2 0.100 0.100 0.699  0.00
Si1 0.500 0.500 0.500  0.00

Output
ρ	11.64	g/cm³
VASP energy	-7.3280	eV per atom
space-group type	No. 166
uncorrected formation energy	0.15	eV per atom

Entry 4:
This record from the Alexandria database describes a geometry-optimized NpSi4Ni6 structure. The functional is PBE.

a b c (Å): 3.695 6.640 6.640
angles (deg): 120.00 90.00 90.00
Last column: magnetic moment on the atom in μB.
Positions (direct):
Si1 0.500 0.804 0.196  0.00
Si2 0.500 0.804 0.608  0.00
Si3 0.000 0.333 0.667  0.01
Si4 0.500 0.392 0.196  0.00
Np1 0.000 0.000 0.000  3.53
Ni1 0.000 0.535 0.071  0.07
Ni2 0.000 0.929 0.465  0.07
Ni3 0.500 0.204 0.409  0.14
Ni4 0.000 0.535 0.465  0.07
Ni5 0.500 0.204 0.796  0.14
Ni6 0.500 0.591 0.796  0.14

Output
ρ	8.26	g/cm³
VASP energy	-6.8470	eV per atom
space-group type	No. 187
uncorrected formation energy	-0.55	eV per atom

Entry 5:
This record from the Alexandria database describes a geometry-optimized Np2Si6Ni structure. The functional is PBE.

a b c (Å): 4.340 4.340 7.776
angles (deg): 90.00 90.00 90.00
Last column: magnetic moment on the atom in μB.
Positions (direct):
Si1 0.000 0.000 0.691  -0.01
Si2 0.000 0.500 0.500  -0.02
Si3 0.500 0.000 0.500  -0.02
Si4 0.000 0.000 0.309  -0.01
Si5 0.000 0.500 0.000  -0.03
Si6 0.500 0.000 0.000  -0.03
Np1 0.500 0.500 0.752  3.17
Np2 0.500 0.500 0.248  3.17
Ni1 0.000 0.000 0.000  -0.03

Output
ρ	7.95	g/cm³
VASP energy	-7.2405	eV per atom
space-group type	No. 123
uncorrected formation energy	-0.11	eV per atom

Entry 6:
This record from the Alexandria database describes a geometry-optimized NpSi2Ni3 structure. The functional is PBE.

a b c (Å): 3.761 7.911 9.257
angles (deg): 106.98 90.00 103.75
Last column: magnetic moment on the atom in μB.
Positions (direct):
Ni1 0.677 0.355 0.969  0.03
Ni2 0.323 0.645 0.031  0.03
Ni3 0.784 0.569 0.607  0.01
Ni4 0.216 0.431 0.393  0.01
Ni5 0.624 0.249 0.202  0.01
Ni6 0.500 0.000 0.500  0.20
Ni7 0.376 0.751 0.798  0.01
Ni8 0.953 0.907 0.657  0.12
Ni9 0.047 0.093 0.343  0.12
Np1 0.158 0.315 0.703  3.42
Np2 0.000 0.000 0.000  3.51
Np3 0.842 0.685 0.297  3.42
Si1 0.468 0.936 0.227  -0.01
Si2 0.801 0.601 0.870  0.00
Si3 0.199 0.399 0.130  0.00
Si4 0.361 0.722 0.546  -0.01
Si5 0.532 0.064 0.773  -0.01
Si6 0.639 0.278 0.454  -0.01

Output
ρ	9.16	g/cm³
VASP energy	-7.3617	eV per atom
space-group type	No. 12
uncorrected formation energy	-0.51	eV per atom

Which of these has the lowest VASP energy? Np3Si7Ni2

Which of these has the highest VASP energy? NpSi4Ni6

What did the fifth record say?
This record from the Alexandria database describes a geometry-optimized Np2Si6Ni structure. The functional is PBE.

a b c (Å): 4.340 4.340 7.776
angles (deg): 90.00 90.00 90.00
Last column: magnetic moment on the atom in μB.
Positions (direct):
Si1 0.000 0.000 0.691  -0.01
Si2 0.000 0.500 0.500  -0.02
Si3 0.500 0.000 0.500  -0.02
Si4 0.000 0.000 0.309  -0.01
Si5 0.000 0.500 0.000  -0.03
Si6 0.500 0.000 0.000  -0.03
Np1 0.500 0.500 0.752  3.17
Np2 0.500 0.500 0.248  3.17
Ni1 0.000 0.000 0.000  -0.03

Output
ρ	7.95	g/cm³
VASP energy	-7.2405	eV per atom
space-group type	No. 123
uncorrected formation energy	-0.11	eV per atom